Compound: MgFe2Co
Source: the Alexandria database
Functional: PBE
Structure: optimized geometry

Geometry as CIF:
```
data_MgFe2Co
_chemical_formula_sum 'Mg1 Fe2 Co1'
_cell_length_a 3.689
_cell_length_b 3.689
_cell_length_c 3.777
_cell_angle_alpha 90.00
_cell_angle_beta 90.00
_cell_angle_gamma 90.00
_space_group_name_H-M_alt 'P 4/m m m'
_space_group_IT_number 123
_space_group_name_Hall '-P 4 2'
loop_
_atom_site_label
_atom_site_fract_x
_atom_site_fract_y
_atom_site_fract_z
Mg1 0.000 0.000 0.000
Fe1 0.000 0.500 0.500
Co1 0.500 0.500 0.000
```

Computed properties:
DOS at the Fermi energy = 0.7637 states/eV per atom
DFT formation energy = 0.161 eV/atom
Crystal system = tetragonal
Raw total energy = -0.2295 Ha/atom



Compound: CeTm2Sc5
Source: the Alexandria database
Functional: PBE
Structure: optimized geometry

Geometry as CIF:
```
data_CeTm2Sc5
_chemical_formula_sum 'Ce2 Tm4 Sc10'
_cell_length_a 7.638
_cell_length_b 7.638
_cell_length_c 7.290
_cell_angle_alpha 90.00
_cell_angle_beta 90.00
_cell_angle_gamma 90.00
_space_group_name_H-M_alt 'I 4 m m'
_space_group_IT_number 107
_space_group_name_Hall 'I 4 -2'
loop_
_atom_site_label
_atom_site_fract_x
_atom_site_fract_y
_atom_site_fract_z
Ce1 0.000 0.000 0.000
Tm1 0.000 0.500 0.017
Sc1 0.000 0.000 0.521
Sc2 0.245 0.245 0.263
```

Computed properties:
ΔE to the lowest computed polymorph = 0.0445 eV/atom
DOS at the Fermi energy = 2.0420 states/eV per atom
DFT formation energy = 0.108 eV/atom
Crystal system = tetragonal
Raw total energy = -0.2098 Ha/atom



Compound: NaH2SeO4
Source: the Alexandria database
Functional: PBE
Structure: optimized geometry

Geometry as CIF:
```
data_NaH2SeO4
_chemical_formula_sum 'Na8 H16 Se8 O32'
_cell_length_a 7.047
_cell_length_b 11.305
_cell_length_c 9.743
_cell_angle_alpha 90.00
_cell_angle_beta 90.00
_cell_angle_gamma 90.00
_space_group_name_H-M_alt 'C m c 21'
_space_group_IT_number 36
loop_
_space_group_symop_operation_xyz
'x,y,z'
'-x,-y,z+1/2'
'-x,y,z'
'x,-y,z+1/2'
'x+1/2,y+1/2,z'
'-x+1/2,-y+1/2,z+1/2'
'-x+1/2,y+1/2,z'
'x+1/2,-y+1/2,z+1/2'
loop_
_atom_site_label
_atom_site_fract_x
_atom_site_fract_y
_atom_site_fract_z
Na1 0.235 0.172 0.000
H1 0.000 0.170 0.244
H2 0.000 0.305 0.227
H3 0.232 0.420 0.984
Se1 0.000 0.096 0.675
Se2 0.000 0.443 0.809
O1 0.000 0.100 0.845
O2 0.000 0.231 0.173
O3 0.000 0.232 0.607
O4 0.000 0.420 0.376
O5 0.193 0.373 0.897
O6 0.195 0.022 0.620
```

Computed properties:
ΔE to the lowest computed polymorph = 0.0000 eV/atom
DOS at the Fermi energy = 0.0000 states/eV per atom
Crystal system = orthorhombic
Raw total energy = -0.1850 Ha/atom



What did the second record say?
Compound: CeTm2Sc5
Source: the Alexandria database
Functional: PBE
Structure: optimized geometry

Geometry as CIF:
```
data_CeTm2Sc5
_chemical_formula_sum 'Ce2 Tm4 Sc10'
_cell_length_a 7.638
_cell_length_b 7.638
_cell_length_c 7.290
_cell_angle_alpha 90.00
_cell_angle_beta 90.00
_cell_angle_gamma 90.00
_space_group_name_H-M_alt 'I 4 m m'
_space_group_IT_number 107
_space_group_name_Hall 'I 4 -2'
loop_
_atom_site_label
_atom_site_fract_x
_atom_site_fract_y
_atom_site_fract_z
Ce1 0.000 0.000 0.000
Tm1 0.000 0.500 0.017
Sc1 0.000 0.000 0.521
Sc2 0.245 0.245 0.263
```

Computed properties:
ΔE to the lowest computed polymorph = 0.0445 eV/atom
DOS at the Fermi energy = 2.0420 states/eV per atom
DFT formation energy = 0.108 eV/atom
Crystal system = tetragonal
Raw total energy = -0.2098 Ha/atom



Look up the raw total energy of the second one. -0.2098 Ha/atom



Which of these has the lowest raw total energy? MgFe2Co



What is the DOS at the Fermi energy in the first record? 0.7637 states/eV per atom